Material: YAsSe3
Method: DFT, PBE
State: relaxed

Lattice parameters (Å, degrees): 5.4165 5.4165 5.4165 90.00 90.00 90.00
Last column: nearest neighbours and their distance in Å.
Space group Pm-3m (No. 221)
One atom of each set of equivalent atoms:
Y 0.0000 0.0000 0.0000 [1 per cell]  6 Se 2.71
As 0.5000 0.5000 0.5000 [1 per cell]  12 Se 3.83
Se 0.0000 0.0000 0.5000 [3 per cell]  2 Y 2.71

Computed properties:
The density of states at the Fermi level comes out at 1.664 states/eV/atom. The energy relative to the lowest polymorph listed for this composition comes out at 4.78 eV per formula unit.

***

Material: YFeOs2
Method: DFT, PBE
State: relaxed

Lattice parameters (Å, degrees): 2.8426 2.8426 28.0680 90.00 90.00 120.00
Last column: nearest neighbours and their distance in Å.
Space group R3m (No. 160, hexagonal axes)
One atom of each set of equivalent atoms:
Y 0.0000 0.0000 0.0000 [3 per cell]  6 Y 2.84, 3 Fe 3.01, 3 Os 3.14
Fe 0.0000 0.0000 0.2434 [3 per cell]  3 Os 2.64, 6 Fe 2.84
Os 0.0000 0.0000 0.5032 [3 per cell]  3 Fe 2.64, 9 Os 2.66-2.84
Os 0.0000 0.0000 0.7620 [3 per cell]  9 Os 2.66-2.84

Computed properties:
The formation energy is 0.5729 eV per atom. The density of states at the Fermi level comes out at 1.326 states/eV/atom. The energy relative to the lowest polymorph listed for this composition comes out at 1.36 eV per formula unit.

***

Material: TmPd8Au2
Method: DFT, PBE
State: relaxed

Lattice parameters (Å, degrees): 8.2152 10.9073 4.3432 90.00 90.00 90.00
Last column: nearest neighbours and their distance in Å.
Space group Cmmm (No. 65)
One atom of each set of equivalent atoms:
Tm 0.0000 0.0000 0.0000 [2 per cell]  12 Pd 2.67-2.96
Pd 0.0000 0.2443 0.0000 [4 per cell]  2 Au 2.61, 1 Tm 2.67, 4 Pd 2.84
Pd 0.1679 0.5000 0.0000 [4 per cell]  1 Tm 2.73, 5 Pd 2.76-2.94, 4 Au 2.90
Pd 0.1689 0.1340 0.5000 [8 per cell]  2 Au 2.72-2.99, 7 Pd 2.78-2.94, 2 Tm 2.96
Au 0.0000 0.3767 0.5000 [4 per cell]  8 Pd 2.61-2.90, 1 Au 2.69

Computed properties:
The formation energy is -0.1762 eV per atom. The density of states at the Fermi level comes out at 0.903 states/eV/atom. The energy relative to the lowest polymorph listed for this composition comes out at 0.64 eV per formula unit.

***

What calculated total energy values result from the calculations? In sequence: -4.27, -8.77, -4.96 eV/atom.